An optimized crystal structure of CoCu2Pb, computed with PBE.

a b c (Å): 4.7304 4.7304 3.9147
angles (deg): 65.55 65.55 48.85
With the nearest neighbours (Å) after each atom.
Positions (direct):
Cu (0.2500, 0.2500, 0.2500)  4 Cu 2.74, 4 Pb 2.74, 4 Co 2.77
Cu (0.0000, 0.0000, 0.0000)  4 Cu 2.74, 4 Co 2.74, 4 Pb 2.77
Co (0.7500, 0.7500, 0.7500)  4 Pb 2.74, 8 Cu 2.74-2.77
Pb (0.5000, 0.5000, 0.5000)  4 Co 2.74, 8 Cu 2.74-2.77

E_form in eV/atom: 0.366
Space-group type: No. 119

=====

An optimized crystal structure of Sc2CoCuPb, computed with PBE.

a b c (Å): 5.4464 4.7530 5.4464
angles (deg): 90.00 90.00 90.00
With the nearest neighbours (Å) after each atom.
Positions (direct):
Sc (0.5000, 0.0000, 0.0000)  2 Pb 2.72
Sc (0.0000, 0.0000, 0.5000)  2 Pb 2.72
Cu (0.0000, 0.5000, 0.0000)  2 Pb 2.38
Pb (0.0000, 0.0000, 0.0000)  2 Cu 2.38
Co (0.5000, 0.5000, 0.5000)  8 Sc 3.61, 4 Cu 3.85

E_form in eV/atom: 1.050
Space-group type: No. 123

=====

An optimized crystal structure of CoCuSiPb2, computed with PBE.

a b c (Å): 5.4042 4.2668 5.4042
angles (deg): 90.00 90.00 90.00
With the nearest neighbours (Å) after each atom.
Positions (direct):
Pb (0.5000, 0.0000, 0.0000)  2 Si 2.70
Pb (0.0000, 0.0000, 0.5000)  2 Si 2.70
Co (0.0000, 0.5000, 0.0000)  2 Si 2.13
Si (0.0000, 0.0000, 0.0000)  2 Co 2.13
Cu (0.5000, 0.5000, 0.5000)  8 Pb 3.44, 4 Co 3.82

Formation energy from raw total energies in eV per atom: 0.798
Space-group type: No. 123

=====

| no. | E (eV/atom) | D(E_F) (states/eV per cell) | volume (Å³/atom) |
| --- | --- | --- | --- |
| 1 | -4.39 | 2.62 | 14.69 |
| 2 | -4.46 | 5.38 | 28.20 |
| 3 | -4.01 | 5.44 | 24.92 |